[1]
An optimized crystal structure of Ba2TmIr3O12, computed with GGA-PBE.

Unit cell a=7.0488 b=7.0488 c=7.0488 alpha=62.17 beta=62.17 gamma=62.17
With the nearest neighbours (Å) after each atom.
Sites, in units of the cell vectors:
Ba 0.6143 0.6143 0.6143  9 O 2.80-3.11
Ba 0.3857 0.3857 0.3857  9 O 2.80-3.11
Tm 0.0000 0.0000 0.0000  6 O 2.26
Ir 0.5000 0.0000 0.0000  6 O 1.92-1.96
Ir 0.0000 0.5000 0.0000  6 O 1.92-1.96
Ir 0.0000 0.0000 0.5000  6 O 1.92-1.96
O 0.3088 0.3088 0.8843  2 Ir 1.96
O 0.8899 0.8899 0.3817  1 Ir 1.92
O 0.3817 0.8899 0.8899  1 Ir 1.92
O 0.8843 0.3088 0.3088  2 Ir 1.96
O 0.8899 0.3817 0.8899  1 Ir 1.92
O 0.3088 0.8843 0.3088  2 Ir 1.96
O 0.6912 0.6912 0.1157  2 Ir 1.96
O 0.1101 0.1101 0.6183  1 Ir 1.92
O 0.6183 0.1101 0.1101  1 Ir 1.92
O 0.1157 0.6912 0.6912  2 Ir 1.96
O 0.1101 0.6183 0.1101  1 Ir 1.92
O 0.6912 0.1157 0.6912  2 Ir 1.96

Uncorrected energy in eV for the cell shown: -122.15
Formation energy without anion corrections in meV per atom: -1541.8



[2]
An optimized crystal structure of BaTmIrO6, computed with GGA-PBE.

Unit cell a=5.5607 b=5.5607 c=5.6840 alpha=90.00 beta=90.00 gamma=60.00
With the nearest neighbours (Å) after each atom.
Sites, in units of the cell vectors:
Ba 0.0000 0.0000 0.0000  6 O 2.72
Tm 0.6666 0.6667 0.5000  6 O 2.22
Ir 0.3333 0.3333 0.5000  6 O 1.93
O 0.0384 0.3561 0.3053  1 Ir 1.93
O 0.3561 0.0384 0.6947  1 Ir 1.93
O 0.6054 0.3562 0.6947  1 Ir 1.93
O 0.0383 0.6055 0.6946  1 Ir 1.93
O 0.3561 0.6054 0.3053  1 Ir 1.93
O 0.6055 0.0384 0.3053  1 Ir 1.93

Uncorrected energy in eV for the cell shown: -62.28
Formation energy without anion corrections in meV per atom: -1919.4



[3]
An optimized crystal structure of BaTm2IrO8, computed with GGA-PBE.

Unit cell a=5.2356 b=4.3056 c=7.1993 alpha=72.85 beta=88.08 gamma=87.19
With the nearest neighbours (Å) after each atom.
Sites, in units of the cell vectors:
Ba 0.0000 0.0000 0.5000  10 O 2.74-3.01
Tm 0.5309 0.3810 0.8102  7 O 2.26-2.44
Tm 0.4691 0.6190 0.1898  7 O 2.26-2.44
Ir 0.0000 0.0000 0.0000  6 O 1.90-2.02
O 0.0426 0.6383 0.2444  1 Ir 1.99
O 0.6902 0.8370 0.9030  1 Ir 2.02
O 0.7637 0.2128 0.1328  1 Ir 1.90
O 0.9574 0.3617 0.7556  1 Ir 1.99
O 0.3098 0.1630 0.0970  1 Ir 2.02
O 0.2363 0.7872 0.8672  1 Ir 1.90
O 0.5042 0.6799 0.4906  1 O 1.52
O 0.4958 0.3201 0.5094  1 O 1.52

Uncorrected energy in eV for the cell shown: -84.93
Formation energy without anion corrections in meV per atom: -2127.8